No. 1
# Li4MoOs

A relaxed structure of Li4MoOs (PBE, Alexandria).

Unit cell a=4.694 b=4.694 c=4.694 alpha=60.00 beta=60.00 gamma=60.00
Atoms (fractional coordinates):
Li1 0.377 0.377 0.377
Li2 0.377 0.377 0.870
Li3 0.377 0.870 0.377
Li4 0.870 0.377 0.377
Mo1 0.000 0.000 0.000
Os1 0.750 0.750 0.750

Calculated values
DFT total energy (eV/atom): -4.58
Formation energy (eV per atom): 0.373


No. 2
# LiMo2Os

A relaxed structure of LiMo2Os (PBE, Alexandria).

Unit cell a=2.747 b=4.008 c=5.300 alpha=90.00 beta=90.00 gamma=90.00
Atoms (fractional coordinates):
Li1 0.000 0.000 0.000
Mo1 0.500 0.500 0.252
Mo2 0.500 0.500 0.748
Os1 0.000 0.000 0.500

Calculated values
DFT total energy (eV/atom): -8.44
Relative energy among the computed polymorphs (meV per atom): 37
Formation energy (eV per atom): 0.260


Copy entry 1 word for word.
# Li4MoOs

A relaxed structure of Li4MoOs (PBE, Alexandria).

Unit cell a=4.694 b=4.694 c=4.694 alpha=60.00 beta=60.00 gamma=60.00
Atoms (fractional coordinates):
Li1 0.377 0.377 0.377
Li2 0.377 0.377 0.870
Li3 0.377 0.870 0.377
Li4 0.870 0.377 0.377
Mo1 0.000 0.000 0.000
Os1 0.750 0.750 0.750

Calculated values
DFT total energy (eV/atom): -4.58
Formation energy (eV per atom): 0.373


What is the formula in the second record?
LiMo2Os


What is the formula in the second record?
LiMo2Os


formation energy of number 2 (LiMo2Os)?
0.260 eV per atom